Record 1
Below is a relaxed PWN2O crystal, with properties calculated at the PBE+U level.

abc: 4.0440 4.0440 3.8203
angles: 90.00 90.00 90.00
Closest atoms and distances in Å follow each position.
Sites, in units of the cell vectors:
N1 0.5000 0.0000 0.0000  2 W 2.02
N2 0.0000 0.5000 0.0000  2 W 2.02
W1 0.0000 0.0000 0.0000  2 O 1.91, 4 N 2.02
P1 0.5000 0.5000 0.5000  8 N 2.78, 4 O 2.86
O1 0.0000 0.0000 0.5000  2 W 1.91

Summary:
M_tot   0.063 μB/atom
Energy   -6.37 eV/atom
Space group   P4/mmm, No. 123
Calculated density   6.9 Mg/m³

Record 2
Below is a relaxed PWNO2 crystal, with properties calculated at the PBE+U level.

abc: 3.8777 3.8777 4.2075
angles: 90.00 90.00 90.00
Closest atoms and distances in Å follow each position.
Sites, in units of the cell vectors:
O1 0.5000 0.0000 0.0000  2 W 1.94
O2 0.0000 0.5000 0.0000  2 W 1.94
P1 0.5000 0.5000 0.5000  4 N 2.74, 8 O 2.86
N1 0.0000 0.0000 0.5000  2 W 2.10
W1 0.0000 0.0000 0.0000  4 O 1.94, 2 N 2.10

Summary:
M_tot   0.379 μB/atom
Energy   -6.30 eV/atom
Space group   P4/mmm, No. 123
Calculated density   6.8 Mg/m³

Record 3
Below is a relaxed PWNO2 crystal, with properties calculated at the PBE+U level.

abc: 3.7894 3.7894 3.7226
angles: 90.00 90.00 90.00
Closest atoms and distances in Å follow each position.
Sites, in units of the cell vectors:
N1 0.0000 0.0000 0.0000  2 P 1.86, 4 O 1.89
O1 0.0000 0.5000 0.0000  2 N 1.89
O2 0.5000 0.0000 0.0000  2 N 1.89
W1 0.5000 0.5000 0.5000  8 O 2.66, 4 P 2.68
P1 0.0000 0.0000 0.5000  2 N 1.86

Summary:
M_tot   0.292 μB/atom
Energy   -5.22 eV/atom
Space group   P4/mmm, No. 123
Calculated density   8.1 Mg/m³